Entry 1:
VASP calculation (PBE) on a geometry-optimized KHfAlSe3 structure.

Calculated values
- Energy: -5.13 eV/atom

Lattice parameters (Å, degrees): 3.746 15.850 10.172 90.00 90.00 90.00
Space group Cmcm (No. 63)
Inequivalent atoms, fractional coordinates:
K  0.000  0.250  0.250
Hf  0.000  0.000  0.000
Al  0.000  0.465  0.750
Se  0.000  0.068  0.750
Se  0.000  0.376  0.557

Entry 2:
VASP calculation (PBE) on a geometry-optimized CsGdCoTe3 structure.

Calculated values
- Offset from the most stable computed form: 0.012 eV/atom
- Energy: -4.53 eV/atom

Lattice parameters (Å, degrees): 11.586 4.325 17.413 90.00 90.00 90.00
Space group Pnma (No. 62)
Inequivalent atoms, fractional coordinates:
Cs  0.236  0.250  0.009
Gd  0.015  0.750  0.252
Co  0.238  0.750  0.780
Te  0.057  0.750  0.866
Te  0.084  0.250  0.369
Te  0.237  0.250  0.692

Entry 3:
VASP calculation (PBE) on a geometry-optimized LiCuNiW structure.

Calculated values
- Offset from the most stable computed form: 0.219 eV/atom
- Energy: -5.55 eV/atom

Lattice parameters (Å, degrees): 5.782 5.782 5.782 90.00 90.00 90.00
Space group F-43m (No. 216)
Inequivalent atoms, fractional coordinates:
Li  0.000  0.000  0.000
Cu  0.000  0.000  0.500
Ni  0.250  0.250  0.250
W  0.250  0.250  0.750

Entry 4:
VASP calculation (PBE) on a geometry-optimized UTl3Cl6 structure.

Calculated values
- Energy: -4.24 eV/atom

Lattice parameters (Å, degrees): 7.574 8.289 12.992 90.00 122.41 90.00
Space group P2_1/c (No. 14)
Inequivalent atoms, fractional coordinates:
U  0.000  0.000  0.000
Tl  0.293  0.069  0.768
Tl  0.500  0.000  0.500
Cl  0.096  0.068  0.232
Cl  0.245  0.727  0.083
Cl  0.347  0.168  0.044